Version w
Material: Zr2ScCl
Method: DFT, PBE
State: optimized geometry

a b c (Å): 10.208 3.201 5.794
angles (deg): 90.00 114.01 90.00
Element x y z (fractional)
Zr: 0.000 0.000 0.000
Zr: 0.224 0.000 0.825
Zr: 0.500 0.500 0.000
Zr: 0.724 0.500 0.825
Sc: 0.398 0.000 0.459
Sc: 0.898 0.500 0.459
Cl: 0.151 0.500 0.409
Cl: 0.651 0.000 0.409

Output
volume = 173 Å³ per cell
crystal system = monoclinic
space group = No. 8
total magnetization = 0.00 μB per formula unit

---

Version x
Material: Zr2ScCl
Method: DFT, PBE
State: optimized geometry

a b c (Å): 7.088 7.088 7.088
angles (deg): 90.00 90.00 90.00
Element x y z (fractional)
Zr: 0.250 0.250 0.250
Zr: 0.250 0.250 0.750
Zr: 0.250 0.750 0.250
Zr: 0.250 0.750 0.750
Zr: 0.750 0.250 0.250
Zr: 0.750 0.250 0.750
Zr: 0.750 0.750 0.250
Zr: 0.750 0.750 0.750
Sc: 0.000 0.000 0.000
Sc: 0.000 0.500 0.500
Sc: 0.500 0.000 0.500
Sc: 0.500 0.500 0.000
Cl: 0.000 0.000 0.500
Cl: 0.000 0.500 0.000
Cl: 0.500 0.000 0.000
Cl: 0.500 0.500 0.500

Output
volume = 356 Å³ per cell
crystal system = cubic
space group = No. 225
total magnetization = 2.12 μB per formula unit

---

Version y
Material: Zr2ScCl
Method: DFT, PBE
State: optimized geometry

a b c (Å): 3.185 5.227 5.370
angles (deg): 90.00 90.00 90.00
Element x y z (fractional)
Zr: 0.000 0.000 0.000
Zr: 0.500 0.500 0.000
Sc: 0.000 0.500 0.500
Cl: 0.500 0.000 0.500

Output
volume = 89 Å³ per cell
crystal system = orthorhombic
space group = No. 47
total magnetization = 0.00 μB per formula unit

---

The most stable of them is version w.